(1)
An optimized crystal structure of CeCo10Mo2. Source: the Alexandria database, functional PBE.

Geometry as extended XYZ:
```
13
Lattice="-2.3323 4.2241 4.2283 2.3323 -4.2241 4.2283 2.3323 4.2241 -4.2283" Properties=species:S:1:pos:R:3 pbc="T T T"
Ce 0.0000 0.0000 0.0000
Co 1.1662 2.1120 -2.1142
Co 1.1662 -2.1120 2.1142
Co 2.3323 1.7768 0.0000
Co 2.3323 0.0000 1.8709
Co 0.0000 3.0388 0.0000
Co -1.1662 2.1120 2.1142
Co 1.1662 2.1120 2.1142
Co 0.0000 5.4094 0.0000
Co 0.0000 4.2241 2.3574
Co 0.0000 2.4473 4.2283
Mo 0.0000 0.0000 3.0302
Mo 0.0000 0.0000 5.4265
```

Crystal system: orthorhombic

(2)
An optimized crystal structure of CeCo4Mo. Source: the Alexandria database, functional PBE.

Geometry as extended XYZ:
```
6
Lattice="0.0000 3.4338 3.4338 3.4338 0.0000 3.4338 3.4338 3.4338 0.0000" Properties=species:S:1:pos:R:3 pbc="T T T"
Ce 0.0000 0.0000 0.0000
Co 2.5773 2.5773 2.5773
Co 4.2904 4.2904 2.5773
Co 4.2904 2.5773 4.2904
Co 2.5773 4.2904 4.2904
Mo 5.1507 5.1507 5.1507
```

Crystal system: cubic

no.,total magnetic moment (μB per cell),ΔH_f (0 K) (meV per atom)
1,11.381,-29
2,0.000,75